(1)
This record from Alexandria via LeMat-Bulk describes BaCo2H after structural relaxation. The functional is PBE.

Results
uncorrected energy	-4.576	eV per atom
energy above the most stable polymorph in this dataset	0	meV per atom
total moment	0.43	μB per atom
space group	Fd-3m (227)

Unit cell a=5.558 b=5.558 c=5.558 alpha=60.00 beta=60.00 gamma=60.00
Atoms (fractional coordinates):
Ba1 0.125 0.125 0.125
Ba2 0.875 0.875 0.875
Co1 0.000 0.500 0.500
Co2 0.500 0.000 0.500
Co3 0.500 0.500 0.000
Co4 0.500 0.500 0.500
H1 0.375 0.375 0.375
H2 0.625 0.625 0.625



(2)
This record from Alexandria via LeMat-Bulk describes BaCo2H after structural relaxation. The functional is PBE.

Results
uncorrected energy	-3.439	eV per atom
energy above the most stable polymorph in this dataset	1138	meV per atom
total moment	0.53	μB per atom
space group	Fm-3m (225)

Unit cell a=4.519 b=4.519 c=4.519 alpha=60.00 beta=60.00 gamma=60.00
Atoms (fractional coordinates):
Ba1 0.000 0.000 0.000
Co1 0.250 0.250 0.250
Co2 0.750 0.750 0.750
H1 0.500 0.500 0.500



(3)
This record from Alexandria via LeMat-Bulk describes Ba2CoH4 after structural relaxation. The functional is PBE.

Results
uncorrected energy	-3.840	eV per atom
energy above the most stable polymorph in this dataset	0	meV per atom
total moment	0.00	μB per atom
space group	I4/mmm (139)

Unit cell a=5.531 b=5.531 c=5.531 alpha=120.46 beta=120.46 gamma=89.20
Atoms (fractional coordinates):
Ba1 0.250 0.750 0.500
Ba2 0.750 0.250 0.500
Co1 0.000 0.000 0.000
H1 0.206 0.206 0.411
H2 0.206 0.794 0.000
H3 0.794 0.206 0.000
H4 0.794 0.794 0.589



(4)
This record from Alexandria via LeMat-Bulk describes BaInCo2H8 after structural relaxation. The functional is PBE.

Results
uncorrected energy	-3.829	eV per atom
total moment	0.00	μB per atom
space group	P-3m1 (164)

Unit cell a=4.661 b=4.661 c=6.320 alpha=90.00 beta=90.00 gamma=120.00
Atoms (fractional coordinates):
Ba1 0.000 0.000 0.000
In1 0.000 0.000 0.500
Co1 0.333 0.667 0.567
Co2 0.667 0.333 0.433
H1 0.059 0.530 0.360
H2 0.333 0.667 0.823
H3 0.470 0.530 0.360
H4 0.470 0.941 0.360
H5 0.530 0.059 0.640
H6 0.530 0.470 0.640
H7 0.667 0.333 0.177
H8 0.941 0.470 0.640



(5)
This record from Alexandria via LeMat-Bulk describes BaCoHIr2 after structural relaxation. The functional is PBE.

Results
uncorrected energy	-5.330	eV per atom
total moment	0.42	μB per atom
space group	P4/mmm (123)

Unit cell a=3.999 b=3.999 c=4.932 alpha=90.00 beta=90.00 gamma=90.00
Atoms (fractional coordinates):
Ba1 0.000 0.000 0.000
Co1 0.500 0.500 0.000
H1 0.000 0.000 0.500
Ir1 0.000 0.500 0.500
Ir2 0.500 0.000 0.500



(6)
This record from Alexandria via LeMat-Bulk describes K2BaCoH6 after structural relaxation. The functional is PBE.

Results
uncorrected energy	-3.387	eV per atom
total moment	0.04	μB per atom
space group	P-3m1 (164)

Unit cell a=5.741 b=5.741 c=6.568 alpha=90.00 beta=90.00 gamma=120.00
Atoms (fractional coordinates):
K1 0.333 0.667 0.391
K2 0.667 0.333 0.609
Ba1 0.000 0.000 0.000
Co1 0.000 0.000 0.500
H1 0.127 0.254 0.641
H2 0.127 0.873 0.641
H3 0.254 0.127 0.359
H4 0.746 0.873 0.641
H5 0.873 0.127 0.359
H6 0.873 0.746 0.359